An optimized crystal structure of PrCd3. Source: Alexandria, functional GGA-PBE.

abc: 5.1982 5.1982 5.1877
angles: 120.07 120.07 90.00
Closest atoms and distances in Å follow each position.
Positions (direct):
Pr: 0.0000 0.0000 0.0000  8 Cd 3.18
Cd: 0.7500 0.2500 0.5000  4 Cd 3.18, 4 Pr 3.18
Cd: 0.5000 0.5000 0.0000  8 Cd 3.18
Cd: 0.2500 0.7500 0.5000  4 Cd 3.18, 4 Pr 3.18

Calculated density: 8026 kg/m3
E_form: -0.3087 eV/atom
Symmetry: No. 139
N(E_F): 1.88 states/eV/f.u.

=====

An optimized crystal structure of Pr4Cd3. Source: Alexandria, functional GGA-PBE.

abc: 6.7426 8.7824 8.7824
angles: 113.69 104.83 104.83
Closest atoms and distances in Å follow each position.
Positions (direct):
Pr: 0.2259 0.8526 0.2974  7 Cd 3.34-3.42, 1 Pr 3.54
Pr: 0.5000 0.0000 0.0000  6 Cd 3.35, 2 Pr 3.37
Pr: 0.0716 0.2974 0.4448  7 Cd 3.34-3.42, 1 Pr 3.54
Pr: 0.9284 0.7026 0.5552  7 Cd 3.34-3.42, 1 Pr 3.54
Pr: 0.7741 0.1474 0.7026  7 Cd 3.34-3.42, 1 Pr 3.54
Pr: 0.6267 0.5552 0.8526  7 Cd 3.34-3.42, 1 Pr 3.54
Cd: 0.7309 0.8660 0.2817  8 Pr 3.34-3.42
Cd: 0.4492 0.7183 0.5843  8 Pr 3.34-3.42
Pr: 0.3733 0.4448 0.1474  7 Cd 3.34-3.42, 1 Pr 3.54
Cd: 0.8649 0.4157 0.1340  8 Pr 3.34-3.42
Pr: 0.0000 0.0000 0.0000  8 Pr 3.37-3.54
Cd: 0.1351 0.5843 0.8660  8 Pr 3.34-3.42
Cd: 0.5508 0.2817 0.4157  8 Pr 3.34-3.42
Cd: 0.2691 0.1340 0.7183  8 Pr 3.34-3.42

Calculated density: 7108 kg/m3
E_form: -0.2416 eV/atom
Symmetry: No. 148
Energy above the most stable polymorph in this dataset: 0 meV/atom
N(E_F): 9.44 states/eV/f.u.

=====

An optimized crystal structure of PrCd5. Source: Alexandria, functional GGA-PBE.

abc: 3.3222 3.3222 15.5591
angles: 90.00 90.00 120.00
Closest atoms and distances in Å follow each position.
Positions (direct):
Cd: 0.0000 0.0000 0.3406  12 Cd 3.13-3.32
Cd: 0.6667 0.3333 0.5000  12 Cd 3.14-3.32
Cd: 0.6667 0.3333 0.8188  9 Cd 3.13-3.32, 3 Pr 3.41
Cd: 0.6667 0.3333 0.1812  9 Cd 3.13-3.32, 3 Pr 3.41
Pr: 0.0000 0.0000 0.0000  6 Pr 3.32, 6 Cd 3.41
Cd: 0.0000 0.0000 0.6594  12 Cd 3.13-3.32

Calculated density: 7849 kg/m3
E_form: -0.0326 eV/atom
Symmetry: No. 187
N(E_F): 3.38 states/eV/f.u.

=====

An optimized crystal structure of PrCd4. Source: Alexandria, functional GGA-PBE.

abc: 6.1671 6.1671 6.1671
angles: 90.00 90.00 90.00
Closest atoms and distances in Å follow each position.
Positions (direct):
Cd: 0.0000 0.5000 0.5000  2 Pr 3.08
Cd: 0.0000 0.0000 0.0000  12 Cd 4.36
Pr: 0.5000 0.5000 0.5000  6 Cd 3.08
Cd: 0.5000 0.5000 0.0000  2 Pr 3.08
Cd: 0.5000 0.0000 0.5000  2 Pr 3.08

Calculated density: 4181 kg/m3
E_form: 0.6795 eV/atom
Symmetry: No. 221
N(E_F): 6.00 states/eV/f.u.